(1)
# La2CrPb

A relaxed La2CrPb crystal (GGA-PBE, the Alexandria database).

Summary:
Calculated formation energy in eV per atom: -0.057

Lattice parameters (Å, degrees): 4.4833 4.6245 6.4114 90.00 110.38 90.00
Space group Pm (No. 6)
Inequivalent atoms, fractional coordinates:
La (0.0000, 0.0000, 0.0000) x1
La (0.2834, 0.5000, 0.5687) x1
Cr (0.7197, 0.0000, 0.4419) x1
Pb (0.5702, 0.5000, 0.1405) x1

---

(2)
# LaCr2Pb

A relaxed LaCr2Pb crystal (GGA-PBE, the Alexandria database).

Summary:
Calculated formation energy in eV per atom: 1.303

Lattice parameters (Å, degrees): 7.6397 7.6397 6.1504 90.00 90.00 90.00
Space group I-42d (No. 122)
Inequivalent atoms, fractional coordinates:
La (0.0000, 0.0000, 0.0000) x4
Cr (0.2246, 0.2500, 0.6250) x8
Pb (0.0000, 0.0000, 0.5000) x4

---

(3)
# LaCr2Pb

A relaxed LaCr2Pb crystal (GGA-PBE, the Alexandria database).

Summary:
Calculated formation energy in eV per atom: 0.547

Lattice parameters (Å, degrees): 4.7030 4.7102 4.7183 90.00 90.00 90.00
Space group Pmmm (No. 47)
Inequivalent atoms, fractional coordinates:
La (0.0000, 0.0000, 0.0000) x1
Cr (0.5000, 0.1917, 0.5000) x2
Pb (0.0000, 0.5000, 0.5000) x1

---

(4)
# LaCr2Pb

A relaxed LaCr2Pb crystal (GGA-PBE, the Alexandria database).

Summary:
Calculated formation energy in eV per atom: 0.550

Lattice parameters (Å, degrees): 3.3268 3.3268 28.3174 90.00 90.00 120.00
Space group R3m (No. 160, hexagonal axes)
Inequivalent atoms, fractional coordinates:
La (0.0000, 0.0000, 0.0000) x3
Cr (0.0000, 0.0000, 0.2453) x3
Cr (0.0000, 0.0000, 0.5259) x3
Pb (0.0000, 0.0000, 0.7744) x3

---

Q: Look up the calculated formation energy of the fourth one.
A: 0.550 eV per atom

---

Q: The lowest calculated formation energy belongs to which entry?
A: La2CrPb

---

Q: Among the records above, which one has the lowest calculated formation energy?
A: La2CrPb

---

Please write out number 3 again, unchanged.
# LaCr2Pb

A relaxed LaCr2Pb crystal (GGA-PBE, the Alexandria database).

Summary:
Calculated formation energy in eV per atom: 0.547

Lattice parameters (Å, degrees): 4.7030 4.7102 4.7183 90.00 90.00 90.00
Space group Pmmm (No. 47)
Inequivalent atoms, fractional coordinates:
La (0.0000, 0.0000, 0.0000) x1
Cr (0.5000, 0.1917, 0.5000) x2
Pb (0.0000, 0.5000, 0.5000) x1